(1)
# GGA-PBE KSc2Al, relaxed
# * energy of formation: 0.331 eV per atom
data_KSc2Al
_cell_length_a 10.3861
_cell_length_b 3.1865
_cell_length_c 7.4715
_cell_angle_alpha 90.00
_cell_angle_beta 96.36
_cell_angle_gamma 90.00
_space_group_name_H-M_alt 'C 1 m 1'
_space_group_IT_number 8
loop_
_space_group_symop_operation_xyz
'x,y,z'
'x,-y,z'
'x+1/2,y+1/2,z'
'x+1/2,-y+1/2,z'
loop_
_atom_site_label
_atom_site_type_symbol
_atom_site_fract_x
_atom_site_fract_y
_atom_site_fract_z
K1 K 0.0000 0.0000 0.0000
Sc1 Sc 0.2252 0.0000 0.6397
Sc2 Sc 0.4845 0.0000 0.4725
Al1 Al 0.2524 0.5000 0.3262

(2)
# GGA-PBE Ca2CuAsN, relaxed
# * formation energy from raw total energies: -699 meV/atom
data_Ca2CuAsN
_cell_length_a 5.0307
_cell_length_b 5.0307
_cell_length_c 3.6898
_cell_angle_alpha 90.00
_cell_angle_beta 90.00
_cell_angle_gamma 90.00
_space_group_name_H-M_alt 'P 4/m m m'
_space_group_IT_number 123
_space_group_name_Hall '-P 4 2'
loop_
_atom_site_label
_atom_site_type_symbol
_atom_site_fract_x
_atom_site_fract_y
_atom_site_fract_z
Ca1 Ca 0.0000 0.5000 0.0000
Cu1 Cu 0.0000 0.0000 0.5000
As1 As 0.5000 0.5000 0.5000
N1 N 0.0000 0.0000 0.0000

(3)
# GGA-PBE Na2TiGaTe4, relaxed
# * formation energy from raw total energies: -598 meV/atom
data_Na2TiGaTe4
_cell_length_a 8.2180
_cell_length_b 8.2180
_cell_length_c 7.1385
_cell_angle_alpha 90.00
_cell_angle_beta 90.00
_cell_angle_gamma 90.00
_space_group_name_H-M_alt 'I -4 2 m'
_space_group_IT_number 121
_space_group_name_Hall 'I -4 2'
loop_
_atom_site_label
_atom_site_type_symbol
_atom_site_fract_x
_atom_site_fract_y
_atom_site_fract_z
Na1 Na 0.0000 0.5000 0.0000
Ti1 Ti 0.0000 0.0000 0.0000
Ga1 Ga 0.0000 0.0000 0.5000
Te1 Te 0.1744 0.1744 0.2505

(4)
# GGA-PBE Na12Tl6Ge, relaxed
# * energy of formation: -0.072 eV per atom
data_Na12Tl6Ge
_cell_length_a 11.6121
_cell_length_b 11.6121
_cell_length_c 14.4529
_cell_angle_alpha 90.00
_cell_angle_beta 90.00
_cell_angle_gamma 120.00
_space_group_name_H-M_alt 'R -3'
_space_group_IT_number 148
_space_group_name_Hall '-R 3'
loop_
_atom_site_label
_atom_site_type_symbol
_atom_site_fract_x
_atom_site_fract_y
_atom_site_fract_z
Na1 Na 0.0399 0.1868 0.3193
Na2 Na 0.0590 0.8405 0.9108
Tl1 Tl 0.0348 0.4399 0.2098
Ge1 Ge 0.0000 0.0000 0.5000

(5)
# GGA-PBE BaTbNi2P2, relaxed
# * energy of formation: -0.992 eV per atom
data_BaTbNi2P2
_cell_length_a 3.9607
_cell_length_b 3.9607
_cell_length_c 8.6739
_cell_angle_alpha 90.00
_cell_angle_beta 90.00
_cell_angle_gamma 120.00
_space_group_name_H-M_alt 'P -3 m 1'
_space_group_IT_number 164
_space_group_name_Hall '-P 3 2"'
loop_
_atom_site_label
_atom_site_type_symbol
_atom_site_fract_x
_atom_site_fract_y
_atom_site_fract_z
Ba1 Ba 0.0000 0.0000 0.0000
Tb1 Tb 0.0000 0.0000 0.5000
Ni1 Ni 0.3333 0.6667 0.7205
P1 P 0.3333 0.6667 0.2827

(6)
# GGA-PBE Sr3Hg2Pb2, relaxed
# * energy of formation: -0.512 eV per atom
data_Sr3Hg2Pb2
_cell_length_a 12.2276
_cell_length_b 5.1157
_cell_length_c 7.9257
_cell_angle_alpha 90.00
_cell_angle_beta 106.90
_cell_angle_gamma 90.00
_space_group_name_H-M_alt 'C 1 2/m 1'
_space_group_IT_number 12
loop_
_space_group_symop_operation_xyz
'x,y,z'
'-x,-y,-z'
'-x,y,-z'
'x,-y,z'
'x+1/2,y+1/2,z'
'-x+1/2,-y+1/2,-z'
'-x+1/2,y+1/2,-z'
'x+1/2,-y+1/2,z'
loop_
_atom_site_label
_atom_site_type_symbol
_atom_site_fract_x
_atom_site_fract_y
_atom_site_fract_z
Sr1 Sr 0.0000 0.0000 0.0000
Sr2 Sr 0.1629 0.0000 0.6297
Hg1 Hg 0.1900 0.5000 0.9360
Pb1 Pb 0.0474 0.5000 0.3285

(7)
# GGA-PBE Ti3Zn7Ag, relaxed
# * energy of formation: -0.036 eV per atom
data_Ti3Zn7Ag
_cell_length_a 2.6866
_cell_length_b 18.5066
_cell_length_c 13.8559
_cell_angle_alpha 90.00
_cell_angle_beta 90.00
_cell_angle_gamma 90.00
_space_group_name_H-M_alt 'C m c m'
_space_group_IT_number 63
_space_group_name_Hall '-C 2c 2'
loop_
_atom_site_label
_atom_site_type_symbol
_atom_site_fract_x
_atom_site_fract_y
_atom_site_fract_z
Ti1 Ti 0.0000 0.0653 0.0682
Ti2 Ti 0.0000 0.1693 0.7500
Zn1 Zn 0.0000 0.2130 0.1509
Zn2 Zn 0.0000 0.3120 0.0194
Zn3 Zn 0.0000 0.3873 0.7500
Zn4 Zn 0.0000 0.4300 0.1042
Ag1 Ag 0.0000 0.0134 0.7500

(8)
# GGA-PBE Tm2AlCu, relaxed
# * energy of formation: -0.342 eV per atom
data_Tm2AlCu
_cell_length_a 3.4262
_cell_length_b 3.4262
_cell_length_c 7.2632
_cell_angle_alpha 90.00
_cell_angle_beta 90.00
_cell_angle_gamma 90.00
_space_group_name_H-M_alt 'P 4/m m m'
_space_group_IT_number 123
_space_group_name_Hall '-P 4 2'
loop_
_atom_site_label
_atom_site_type_symbol
_atom_site_fract_x
_atom_site_fract_y
_atom_site_fract_z
Tm1 Tm 0.0000 0.0000 0.2348
Al1 Al 0.5000 0.5000 0.5000
Cu1 Cu 0.5000 0.5000 0.0000

(9)
# GGA-PBE Y3Ho3Cd2, relaxed
# * energy of formation: -0.061 eV per atom
data_Y3Ho3Cd2
_cell_length_a 5.1971
_cell_length_b 11.6548
_cell_length_c 15.7842
_cell_angle_alpha 90.00
_cell_angle_beta 90.00
_cell_angle_gamma 90.00
_space_group_name_H-M_alt 'C m c m'
_space_group_IT_number 63
_space_group_name_Hall '-C 2c 2'
loop_
_atom_site_label
_atom_site_type_symbol
_atom_site_fract_x
_atom_site_fract_y
_atom_site_fract_z
Y1 Y 0.0000 0.0430 0.1055
Y2 Y 0.0000 0.2702 0.2500
Ho1 Ho 0.0000 0.3552 0.0324
Ho2 Ho 0.0000 0.4459 0.7500
Cd1 Cd 0.0000 0.2274 0.6355

(10)
# GGA-PBE TaSIN2, relaxed
# * energy relative to the lowest polymorph listed for this composition: 0 meV per atom
# * formation energy from raw total energies: 408 meV/atom
data_TaSIN2
_cell_length_a 4.0355
_cell_length_b 4.0355
_cell_length_c 5.4856
_cell_angle_alpha 90.00
_cell_angle_beta 90.00
_cell_angle_gamma 90.00
_space_group_name_H-M_alt 'P 4/m m m'
_space_group_IT_number 123
_space_group_name_Hall '-P 4 2'
loop_
_atom_site_label
_atom_site_type_symbol
_atom_site_fract_x
_atom_site_fract_y
_atom_site_fract_z
Ta1 Ta 0.0000 0.0000 0.0000
S1 S 0.0000 0.0000 0.5000
I1 I 0.5000 0.5000 0.5000
N1 N 0.0000 0.5000 0.0000

(11)
# GGA-PBE Fe2Sb2Se, relaxed
# * formation energy from raw total energies: 496 meV/atom
data_Fe2Sb2Se
_cell_length_a 4.3576
_cell_length_b 4.3576
_cell_length_c 10.8225
_cell_angle_alpha 90.00
_cell_angle_beta 90.00
_cell_angle_gamma 90.00
_space_group_name_H-M_alt 'I 4/m m m'
_space_group_IT_number 139
_space_group_name_Hall '-I 4 2'
loop_
_atom_site_label
_atom_site_type_symbol
_atom_site_fract_x
_atom_site_fract_y
_atom_site_fract_z
Fe1 Fe 0.0000 0.0000 0.1063
Sb1 Sb 0.0000 0.5000 0.2500
Se1 Se 0.0000 0.0000 0.5000

(12)
# GGA-PBE Y3Pu3ScSe8, relaxed
# * formation energy from raw total energies: -1700 meV/atom
data_Y3Pu3ScSe8
_cell_length_a 14.1808
_cell_length_b 8.1711
_cell_length_c 8.1910
_cell_angle_alpha 90.00
_cell_angle_beta 125.23
_cell_angle_gamma 90.00
_space_group_name_H-M_alt 'C 1 2/m 1'
_space_group_IT_number 12
loop_
_space_group_symop_operation_xyz
'x,y,z'
'-x,-y,-z'
'-x,y,-z'
'x,-y,z'
'x+1/2,y+1/2,z'
'-x+1/2,-y+1/2,-z'
'-x+1/2,y+1/2,-z'
'x+1/2,-y+1/2,z'
loop_
_atom_site_label
_atom_site_type_symbol
_atom_site_fract_x
_atom_site_fract_y
_atom_site_fract_z
Y1 Y 0.0000 0.0000 0.0000
Y2 Y 0.2500 0.2500 0.0000
Pu1 Pu 0.0000 0.5000 0.5000
Pu2 Pu 0.2500 0.2500 0.5000
Sc1 Sc 0.0000 0.5000 0.0000
Se1 Se 0.0023 0.2553 0.7614
Se2 Se 0.2428 0.5000 0.2399
Se3 Se 0.2485 0.0000 0.2459

(13)
# GGA-PBE AgS2I, relaxed
# * energy relative to the lowest polymorph listed for this composition: 25 meV per atom
# * formation energy from raw total energies: 235 meV/atom
data_AgS2I
_cell_length_a 3.5780
_cell_length_b 4.3016
_cell_length_c 15.9014
_cell_angle_alpha 90.00
_cell_angle_beta 90.00
_cell_angle_gamma 90.00
_space_group_name_H-M_alt 'I m m 2'
_space_group_IT_number 44
loop_
_space_group_symop_operation_xyz
'x,y,z'
'-x,-y,z'
'-x,y,z'
'x,-y,z'
'x+1/2,y+1/2,z+1/2'
'-x+1/2,-y+1/2,z+1/2'
'-x+1/2,y+1/2,z+1/2'
'x+1/2,-y+1/2,z+1/2'
loop_
_atom_site_label
_atom_site_type_symbol
_atom_site_fract_x
_atom_site_fract_y
_atom_site_fract_z
Ag1 Ag 0.0000 0.0000 0.0000
S1 S 0.0000 0.0000 0.3936
S2 S 0.0000 0.5000 0.8199
I1 I 0.0000 0.5000 0.1098

(14)
# GGA-PBE PuSbAs, relaxed
# * energy relative to the lowest polymorph listed for this composition: 0 meV per atom
# * formation energy from raw total energies: -569 meV/atom
data_PuSbAs
_cell_length_a 4.1720
_cell_length_b 4.1720
_cell_length_c 16.9107
_cell_angle_alpha 90.00
_cell_angle_beta 90.00
_cell_angle_gamma 90.00
_space_group_name_H-M_alt 'I 4/m m m'
_space_group_IT_number 139
_space_group_name_Hall '-I 4 2'
loop_
_atom_site_label
_atom_site_type_symbol
_atom_site_fract_x
_atom_site_fract_y
_atom_site_fract_z
Pu1 Pu 0.0000 0.0000 0.1547
Sb1 Sb 0.0000 0.5000 0.0000
As1 As 0.0000 0.0000 0.3229

(15)
# GGA-PBE Ta3TiSe, relaxed
# * energy relative to the lowest polymorph listed for this composition: 621 meV per atom
# * formation energy from raw total energies: 1435 meV/atom
data_Ta3TiSe
_cell_length_a 4.7434
_cell_length_b 4.7434
_cell_length_c 4.7434
_cell_angle_alpha 90.00
_cell_angle_beta 90.00
_cell_angle_gamma 90.00
_space_group_name_H-M_alt 'P m -3 m'
_space_group_IT_number 221
_space_group_name_Hall '-P 4 2 3'
loop_
_atom_site_label
_atom_site_type_symbol
_atom_site_fract_x
_atom_site_fract_y
_atom_site_fract_z
Ta1 Ta 0.0000 0.0000 0.5000
Ti1 Ti 0.0000 0.0000 0.0000
Se1 Se 0.5000 0.5000 0.5000

(16)
# GGA-PBE CaPu2Ru2, relaxed
# * energy of formation: 0.040 eV per atom
data_CaPu2Ru2
_cell_length_a 8.1281
_cell_length_b 12.8039
_cell_length_c 5.6917
_cell_angle_alpha 90.00
_cell_angle_beta 127.80
_cell_angle_gamma 90.00
_space_group_name_H-M_alt 'C 1 2/c 1'
_space_group_IT_number 15
loop_
_space_group_symop_operation_xyz
'x,y,z'
'-x,-y,-z'
'-x,y,-z+1/2'
'x,-y,z+1/2'
'x+1/2,y+1/2,z'
'-x+1/2,-y+1/2,-z'
'-x+1/2,y+1/2,-z+1/2'
'x+1/2,-y+1/2,z+1/2'
loop_
_atom_site_label
_atom_site_type_symbol
_atom_site_fract_x
_atom_site_fract_y
_atom_site_fract_z
Ca1 Ca 0.0000 0.1925 0.2500
Pu1 Pu 0.2487 0.0810 0.9652
Ru1 Ru 0.0000 0.2401 0.7500
Ru2 Ru 0.0000 0.4334 0.2500

(17)
# GGA-PBE Rb2SnI6, relaxed
# * formation energy from raw total energies: -859 meV/atom
data_Rb2SnI6
_cell_length_a 8.3206
_cell_length_b 8.4486
_cell_length_c 14.4246
_cell_angle_alpha 90.00
_cell_angle_beta 124.54
_cell_angle_gamma 90.00
_space_group_name_H-M_alt 'P 1 21/c 1'
_space_group_IT_number 14
loop_
_space_group_symop_operation_xyz
'x,y,z'
'-x,-y,-z'
'-x,y+1/2,-z+1/2'
'x,-y+1/2,z+1/2'
loop_
_atom_site_label
_atom_site_type_symbol
_atom_site_fract_x
_atom_site_fract_y
_atom_site_fract_z
Rb1 Rb 0.2312 0.0550 0.2482
Sn1 Sn 0.5000 0.0000 0.0000
I1 I 0.1884 0.2029 0.9682
I2 I 0.2747 0.7199 0.9772
I3 I 0.3165 0.5021 0.2581

(18)
# GGA-PBE SrHgAu10, relaxed
# * energy of formation: -0.214 eV per atom
data_SrHgAu10
_cell_length_a 4.6838
_cell_length_b 5.6511
_cell_length_c 9.7821
_cell_angle_alpha 90.00
_cell_angle_beta 90.00
_cell_angle_gamma 90.00
_space_group_name_H-M_alt 'P m m m'
_space_group_IT_number 47
loop_
_space_group_symop_operation_xyz
'x,y,z'
'-x,-y,-z'
'-x,-y,z'
'x,y,-z'
'x,-y,-z'
'-x,y,z'
'-x,y,-z'
'x,-y,z'
loop_
_atom_site_label
_atom_site_type_symbol
_atom_site_fract_x
_atom_site_fract_y
_atom_site_fract_z
Sr1 Sr 0.0000 0.0000 0.0000
Hg1 Hg 0.0000 0.5000 0.5000
Au1 Au 0.0000 0.0000 0.3410
Au2 Au 0.0000 0.5000 0.1831
Au3 Au 0.5000 0.0000 0.5000
Au4 Au 0.5000 0.2436 0.2431
Au5 Au 0.5000 0.5000 0.0000

(19)
# GGA-PBE ScTa2Sb, relaxed
# * formation energy from raw total energies: 561 meV/atom
data_ScTa2Sb
_cell_length_a 8.0336
_cell_length_b 8.0336
_cell_length_c 5.5584
_cell_angle_alpha 90.00
_cell_angle_beta 90.00
_cell_angle_gamma 90.00
_space_group_name_H-M_alt 'I -4 2 d'
_space_group_IT_number 122
_space_group_name_Hall 'I -4 2bw'
loop_
_atom_site_label
_atom_site_type_symbol
_atom_site_fract_x
_atom_site_fract_y
_atom_site_fract_z
Sc1 Sc 0.0000 0.0000 0.0000
Ta1 Ta 0.2172 0.7500 0.6250
Sb1 Sb 0.0000 0.0000 0.5000

(20)
# GGA-PBE CeTmPu2Se5, relaxed
# * formation energy from raw total energies: -1200 meV/atom
data_CeTmPu2Se5
_cell_length_a 5.0883
_cell_length_b 5.0883
_cell_length_c 10.9743
_cell_angle_alpha 90.00
_cell_angle_beta 90.00
_cell_angle_gamma 90.00
_space_group_name_H-M_alt 'P 4/m m m'
_space_group_IT_number 123
_space_group_name_Hall '-P 4 2'
loop_
_atom_site_label
_atom_site_type_symbol
_atom_site_fract_x
_atom_site_fract_y
_atom_site_fract_z
Ce1 Ce 0.0000 0.0000 0.0000
Tm1 Tm 0.0000 0.0000 0.5000
Pu1 Pu 0.5000 0.5000 0.3126
Se1 Se 0.0000 0.0000 0.2502
Se2 Se 0.0000 0.5000 0.5000
Se3 Se 0.5000 0.5000 0.0000

(21)
# GGA-PBE Cs2KPbCl6, relaxed
# * formation energy from raw total energies: -1530 meV/atom
data_Cs2KPbCl6
_cell_length_a 8.0376
_cell_length_b 8.0376
_cell_length_c 41.7906
_cell_angle_alpha 90.00
_cell_angle_beta 90.00
_cell_angle_gamma 120.00
_space_group_name_H-M_alt 'R -3 m'
_space_group_IT_number 166
_space_group_name_Hall '-R 3 2"'
loop_
_atom_site_label
_atom_site_type_symbol
_atom_site_fract_x
_atom_site_fract_y
_atom_site_fract_z
Cs1 Cs 0.0000 0.0000 0.1424
Cs2 Cs 0.0000 0.0000 0.2707
K1 K 0.0000 0.0000 0.4111
Pb1 Pb 0.0000 0.0000 0.0000
Pb2 Pb 0.0000 0.0000 0.5000
Cl1 Cl 0.0020 0.5010 0.8748
Cl2 Cl 0.0325 0.5162 0.7022